Material: Ca2GaReBr
Method: DFT, PBEsol
State: relaxed

The structure in extended XYZ format:
```
5
Lattice="5.359 0.000 0.000 0.000 5.359 0.000 0.000 0.000 4.536" Properties=species:S:1:pos:R:3 pbc="T T T"
Ca 0.000 2.680 0.000
Ca 2.680 0.000 0.000
Ga 0.000 0.000 2.268
Re 2.680 2.680 2.268
Br 2.680 2.680 0.000
```

total magnetization = 0.000 μB/f.u.
space-group type = P4/mmm (123)
DFT total energy = -0.294 Ry/atom